# 1
# ScV3Cu, optimized geometry, DFT PBE
# ΔE to the lowest computed polymorph   0 meV per atom
# Formation energy from the elements   1.00 eV per atom
data_ScV3Cu
_cell_length_a 4.519
_cell_length_b 4.519
_cell_length_c 4.519
_cell_angle_alpha 90.00
_cell_angle_beta 90.00
_cell_angle_gamma 90.00
_space_group_name_H-M_alt 'P m -3 m'
_space_group_IT_number 221
_space_group_name_Hall '-P 4 2 3'
loop_
_atom_site_label
_atom_site_fract_x
_atom_site_fract_y
_atom_site_fract_z
Sc1 0.000 0.000 0.000
V1 0.000 0.500 0.500
Cu1 0.500 0.500 0.500

=====

# 2
# ScV2Cu2, optimized geometry, DFT PBE
# ΔE to the lowest computed polymorph   39 meV per atom
# Formation energy from the elements   0.19 eV per atom
data_ScV2Cu2
_cell_length_a 7.487
_cell_length_b 7.487
_cell_length_c 2.638
_cell_angle_alpha 90.00
_cell_angle_beta 90.00
_cell_angle_gamma 90.00
_space_group_name_H-M_alt 'P 4/m b m'
_space_group_IT_number 127
_space_group_name_Hall '-P 4 2ab'
loop_
_atom_site_label
_atom_site_fract_x
_atom_site_fract_y
_atom_site_fract_z
Sc1 0.000 0.000 0.000
V1 0.109 0.391 0.000
Cu1 0.186 0.686 0.500

=====

# 3
# Sc2VCu, optimized geometry, DFT PBE
# ΔE to the lowest computed polymorph   547 meV per atom
# Formation energy from the elements   0.58 eV per atom
data_Sc2VCu
_cell_length_a 4.018
_cell_length_b 4.018
_cell_length_c 18.902
_cell_angle_alpha 90.00
_cell_angle_beta 90.00
_cell_angle_gamma 90.00
_space_group_name_H-M_alt 'I -4 2 d'
_space_group_IT_number 122
_space_group_name_Hall 'I -4 2bw'
loop_
_atom_site_label
_atom_site_fract_x
_atom_site_fract_y
_atom_site_fract_z
Sc1 0.245 0.250 0.125
V1 0.000 0.000 0.500
Cu1 0.000 0.000 0.000

=====

# 4
# Sc3VCu, optimized geometry, DFT PBE
# ΔE to the lowest computed polymorph   0 meV per atom
# Formation energy from the elements   0.53 eV per atom
data_Sc3VCu
_cell_length_a 4.925
_cell_length_b 4.925
_cell_length_c 4.925
_cell_angle_alpha 90.00
_cell_angle_beta 90.00
_cell_angle_gamma 90.00
_space_group_name_H-M_alt 'P m -3 m'
_space_group_IT_number 221
_space_group_name_Hall '-P 4 2 3'
loop_
_atom_site_label
_atom_site_fract_x
_atom_site_fract_y
_atom_site_fract_z
Sc1 0.000 0.000 0.500
V1 0.500 0.500 0.500
Cu1 0.000 0.000 0.000